First-principles (PBE+U) data for a geometry-optimized LiNi2O2F structure, as listed in Alexandria via LeMat-Bulk. Values from VASP.

Computed properties:
- calculated total energy (hartree per atom) = -0.17638
- M_tot (μB per atom) = 0.667

```
&SYSTEM
  ibrav = 0, nat = 12, ntyp = 4
/
ATOMIC_SPECIES
Li 6.94 Li.upf
Ni 58.69 Ni.upf
O 16.00 O.upf
F 19.00 F.upf
CELL_PARAMETERS angstrom
2.965 0.000 0.000
0.000 2.965 0.000
0.000 0.000 12.574
ATOMIC_POSITIONS crystal
Li 0.250 0.250 0.083
Li 0.750 0.750 0.917
Ni 0.250 0.250 0.415
Ni 0.250 0.250 0.751
Ni 0.750 0.750 0.249
Ni 0.750 0.750 0.585
O 0.250 0.250 0.246
O 0.250 0.250 0.585
O 0.750 0.750 0.415
O 0.750 0.750 0.754
F 0.250 0.250 0.923
F 0.750 0.750 0.077
```